Compound: SrFeSbO5
Source: the Alexandria database
Functional: PBE+U
Structure: relaxed

Results
density	5.02	Mg/m³
DFT total energy	-103.19	eV per cell
M_tot	9.98	μB per cell

The structure in POSCAR format:
```
SrFeSbO5
1.0
-4.4121 3.4162 -1.9370
-2.2602 -3.5572 4.1385
4.4275 4.7106 3.8386
O Sr Fe Sb
10 2 2 2
Cartesian
-1.5573 3.9509 0.5920 O
-2.9573 2.2506 2.7834 O
-0.4979 3.8097 5.3965 O
-1.7470 0.7599 0.6436 O
-0.9398 6.4575 1.3703 O
1.9597 2.0828 6.1909 O
-0.6875 0.6187 5.4481 O
-1.3050 -1.8879 4.6698 O
0.7125 2.3189 3.2567 O
-4.2046 2.4868 -0.1508 O
-1.8674 -0.0656 3.0821 Sr
-0.3775 4.6352 2.9580 Sr
-2.6328 2.4148 0.9211 Fe
0.3880 2.1548 5.1190 Fe
2.2137 2.3553 1.9193 Sb
0.0000 0.0000 0.0000 Sb
```